This record from OQMD describes Ho2ErIn3CuPt2 after structural relaxation. The functional is PBE.

The structure in POSCAR format:
```
Ho2ErIn3CuPt2
1.0
3.705 0.000 0.000
0.000 6.689 3.865
0.000 -6.689 3.865
Ho Er In Cu Pt
2 1 3 1 2
direct
0.000 0.205 0.795
0.000 0.795 0.205
0.000 0.384 0.384
0.500 0.050 0.050
0.500 0.539 0.794
0.500 0.794 0.539
0.000 0.795 0.795
0.500 0.129 0.461
0.500 0.461 0.129
```

Values from the calculation:
For the electronic total energy, the calculation gives -45.332 eV per cell. The space group is Amm2, No. 38. As for the volume: 191.6 Å³/cell.